{
  "formula": "Hf2VAsOs",
  "functional": "PBE",
  "state": "relaxed",
  "formation_enthalpy_0k_ev_per_atom": 0.496,
  "space_group": "P4/mmm, No. 123",
  "volume_a3_per_atom": 22.92,
  "cell": [[-2.8722, -3.3590, 2.4540], [3.5985, -1.4174, 2.2718], [-0.9258, 3.4235, 3.6024]],
  "species": ["Hf", "Hf", "Os", "V", "As"],
  "frac_coords": [[0.5000, 0.0000, 0.0000], [0.0000, 0.0000, 0.5000], [0.0000, 0.0000, 0.0000], [0.0000, 0.5000, 0.0000], [0.5000, 0.5000, 0.5000]]
}

=====

{
  "formula": "HfZn2AsOs",
  "functional": "PBE",
  "state": "relaxed",
  "formation_enthalpy_0k_ev_per_atom": 0.654,
  "space_group": "P4/mmm, No. 123",
  "volume_a3_per_atom": 20.91,
  "cell": [[-3.5500, 3.1535, 0.5602], [0.2172, -0.5974, 4.7389], [3.0565, 3.3898, 0.2873]],
  "species": ["Hf", "Zn", "Zn", "As", "Os"],
  "frac_coords": [[0.5000, 0.5000, 0.5000], [0.5000, 0.0000, 0.0000], [0.0000, 0.5000, 0.0000], [0.0000, 0.0000, 0.5000], [0.0000, 0.0000, 0.0000]]
}

=====

| no. | mass density (g/cm3) | N(E_F) (states/eV/f.u.) |
| --- | --- | --- |
| 1 | 9.75 | 3.27 |
| 2 | 9.12 | 4.24 |